1.
This record from the Alexandria database describes an optimized crystal structure of Er3SnPt12. The functional is PBE.

Cell: 4.095 4.095 16.313 Å, 90.00 90.00 90.00°
Fractional positions:
1 Er 0.000 0.000 0.000
2 Er 0.000 0.000 0.250
3 Er 0.000 0.000 0.750
4 Sn 0.000 0.000 0.500
5 Pt 0.000 0.500 0.126
6 Pt 0.000 0.500 0.377
7 Pt 0.000 0.500 0.623
8 Pt 0.000 0.500 0.874
9 Pt 0.500 0.000 0.126
10 Pt 0.500 0.000 0.377
11 Pt 0.500 0.000 0.623
12 Pt 0.500 0.000 0.874
13 Pt 0.500 0.500 0.000
14 Pt 0.500 0.500 0.252
15 Pt 0.500 0.500 0.500
16 Pt 0.500 0.500 0.748

E_form ... -900 meV per atom
Uncorrected energy ... -104.59 eV/f.u.



2.
This record from the Alexandria database describes an optimized crystal structure of Sc3AgPb. The functional is PBE.

Cell: 5.158 5.158 5.158 Å, 90.00 90.00 90.00°
Fractional positions:
1 Sc 0.000 0.000 0.500
2 Sc 0.000 0.500 0.000
3 Sc 0.500 0.000 0.000
4 Ag 0.000 0.000 0.000
5 Pb 0.500 0.500 0.500

E_form ... 156 meV per atom
Energy above the most stable polymorph in this dataset ... 0 meV/atom
Uncorrected energy ... -24.78 eV/f.u.



3.
This record from the Alexandria database describes an optimized crystal structure of K2TlW. The functional is PBE.

Cell: 5.552 5.552 5.552 Å, 119.96 119.96 90.07°
Fractional positions:
1 K 0.000 0.000 0.000
2 K 0.750 0.250 0.500
3 Tl 0.500 0.500 0.000
4 W 0.250 0.750 0.500

E_form ... 1313 meV per atom
Energy above the most stable polymorph in this dataset ... 334 meV/atom
Uncorrected energy ... -12.26 eV/f.u.



4.
This record from the Alexandria database describes an optimized crystal structure of Cs2BAuO2. The functional is PBE.

Cell: 7.363 7.363 6.078 Å, 90.00 90.00 79.37°
Fractional positions:
1 Cs 0.034 0.327 0.000
2 Cs 0.327 0.034 0.500
3 Cs 0.673 0.966 0.000
4 Cs 0.966 0.673 0.500
5 B 0.209 0.791 0.985
6 B 0.791 0.209 0.485
7 Au 0.433 0.567 0.830
8 Au 0.567 0.433 0.330
9 O 0.056 0.725 0.011
10 O 0.275 0.944 0.011
11 O 0.725 0.056 0.511
12 O 0.944 0.275 0.511

E_form (uncorrected) ... -851 kJ/mol of formula units
Uncorrected energy ... -30.40 eV/f.u.



5.
This record from the Alexandria database describes an optimized crystal structure of Cs2U3InSe8. The functional is PBE.

Cell: 10.083 10.083 10.083 Å, 49.53 49.53 49.53°
Fractional positions:
1 Cs 0.000 0.000 0.000
2 Cs 0.357 0.357 0.357
3 U 0.498 0.999 0.999
4 U 0.999 0.498 0.999
5 U 0.999 0.999 0.498
6 In 0.607 0.607 0.607
7 Se 0.201 0.734 0.734
8 Se 0.223 0.223 0.223
9 Se 0.262 0.262 0.803
10 Se 0.262 0.803 0.262
11 Se 0.734 0.201 0.734
12 Se 0.734 0.734 0.201
13 Se 0.775 0.775 0.775
14 Se 0.803 0.262 0.262

E_form (uncorrected) ... -1471 kJ/mol of formula units
Uncorrected energy ... -81.43 eV/f.u.



6.
This record from the Alexandria database describes an optimized crystal structure of K2ZrCu. The functional is PBE.

Cell: 6.906 6.906 6.906 Å, 143.89 143.89 52.00°
Fractional positions:
1 K 0.250 0.750 0.500
2 K 0.750 0.250 0.500
3 Zr 0.000 0.000 0.000
4 Cu 0.500 0.500 0.000

E_form ... 927 meV per atom
Energy above the most stable polymorph in this dataset ... 520 meV/atom
Uncorrected energy ... -11.13 eV/f.u.